Compound: PmZnCuRh
Source: Alexandria via LeMat-Bulk
Functional: PBE
Structure: relaxed

```
16
Lattice="6.620 0.000 0.000 0.000 6.620 0.000 0.000 0.000 6.620" Properties=species:S:1:pos:R:3 pbc="T T T"
Pm 0.000 0.000 0.000
Pm 0.000 3.310 3.310
Pm 3.310 0.000 3.310
Pm 3.310 3.310 0.000
Zn 0.000 0.000 3.310
Zn 0.000 3.310 0.000
Zn 3.310 0.000 0.000
Zn 3.310 3.310 3.310
Cu 1.655 1.655 1.655
Cu 1.655 4.965 4.965
Cu 4.965 1.655 4.965
Cu 4.965 4.965 1.655
Rh 1.655 1.655 4.965
Rh 1.655 4.965 1.655
Rh 4.965 1.655 1.655
Rh 4.965 4.965 4.965
```

Values from the calculation:
The excess energy over the best structure of this formula in the dataset comes out at 144.7 meV/atom. As for the spin magnetization: 0.00 μB per formula unit. The crystal system is cubic. The formation energy from the elements comes out at -1.15 eV per formula unit. As for the density of states at the Fermi level: 2.88 states/eV/f.u.